one.
KMgNb3: relaxed, PBE-GGA.

Structure (POSCAR):
```
KMgNb3
1.0
5.0273 0.0000 0.0000
0.0000 5.0273 0.0000
0.0000 0.0000 5.0273
K Mg Nb
1 1 3
direct
0.0000 0.0000 0.0000
0.5000 0.5000 0.5000
0.0000 0.5000 0.5000
0.5000 0.0000 0.5000
0.5000 0.5000 0.0000
```

=====

two.
KMgNb3: relaxed, PBE-GGA.

Structure (POSCAR):
```
KMgNb3
1.0
4.6863 0.0000 0.0000
0.0000 4.6863 0.0000
0.0000 0.0000 4.6863
K Mg Nb
1 1 3
direct
0.0000 0.0000 0.0000
0.5000 0.5000 0.5000
0.0000 0.0000 0.5000
0.0000 0.5000 0.0000
0.5000 0.0000 0.0000
```

=====

Most stable of them? one.

=====

one.
K2Nd2MgS4O16: relaxed, PBE-GGA.

Structure (POSCAR):
```
K2Nd2MgS4O16
1.0
5.5592 0.0000 0.0000
-0.3966 7.0874 0.0000
-0.3091 -1.7303 9.7760
K Nd Mg S O
2 2 1 4 16
direct
0.0000 0.0000 0.0000
0.4383 0.6247 0.7137
0.5279 0.4993 0.0953
0.9004 0.0938 0.5527
0.4394 0.8120 0.4342
0.0310 0.5638 0.3801
0.4698 0.1410 0.7521
0.5213 0.0425 0.2341
0.9780 0.5047 0.9112
0.0326 0.4160 0.4666
0.0626 0.7597 0.4711
0.2057 0.6255 0.9601
0.2398 0.0191 0.7187
0.2545 0.5594 0.2951
0.3065 0.0104 0.3152
0.4396 0.2785 0.8797
0.4651 0.1788 0.1404
0.5244 0.2460 0.6364
0.5757 0.8557 0.1489
0.6786 0.0216 0.7683
0.7366 0.1195 0.3226
0.7727 0.6357 0.9243
0.8118 0.5494 0.2903
0.9289 0.3703 0.0095
0.9964 0.4096 0.7691
```

=====

two.
K2Nd2MgS4O16: relaxed, PBE-GGA.

Structure (POSCAR):
```
K2Nd2MgS4O16
1.0
5.2557 0.0000 0.0000
0.0084 9.2451 0.0000
0.0901 2.3505 9.4438
K Nd Mg S O
2 2 1 4 16
direct
0.0000 0.0000 0.0000
0.4834 0.8001 0.4361
0.4775 0.5767 0.0746
0.9929 0.4132 0.6344
0.9859 0.1145 0.3890
0.4816 0.2560 0.9065
0.4870 0.3540 0.4617
0.9853 0.7272 0.8018
0.9889 0.6400 0.2448
0.0067 0.5134 0.1747
0.0493 0.6453 0.6888
0.2093 0.7141 0.8984
0.2240 0.7328 0.2064
0.2480 0.2636 0.4991
0.2548 0.2733 0.8116
0.4438 0.3558 0.0046
0.4752 0.4743 0.5418
0.5019 0.4150 0.3082
0.5043 0.1004 0.9847
0.7161 0.3050 0.8198
0.7192 0.2625 0.5100
0.7583 0.7301 0.1900
0.7640 0.6476 0.8844
0.9286 0.8832 0.7400
0.9685 0.5892 0.4014
```

=====

three.
K2Nd2MgS4O16: relaxed, PBE-GGA.

Structure (POSCAR):
```
K2Nd2MgS4O16
1.0
5.6209 0.0000 0.0000
0.0038 7.2398 0.0000
2.6352 0.5286 10.7567
K Nd Mg S O
2 2 1 4 16
direct
0.0000 0.0000 0.0000
0.2423 0.5688 0.3483
0.0736 0.5010 0.7865
0.7640 0.0365 0.4341
0.4154 0.3783 0.9954
0.1448 0.0047 0.6701
0.2915 0.0655 0.2493
0.6735 0.5256 0.5374
0.8224 0.4960 0.0719
0.0833 0.1709 0.7441
0.1100 0.9078 0.2673
0.1206 0.8393 0.7570
0.1690 0.2056 0.3371
0.3478 0.1352 0.1176
0.3974 0.0201 0.5909
0.4207 0.5307 0.6162
0.5236 0.0029 0.2813
0.5593 0.5257 0.1310
0.6946 0.3617 0.4584
0.7175 0.6958 0.4525
0.8214 0.3376 0.9845
0.8607 0.5151 0.6113
0.9220 0.6565 0.9834
0.9705 0.9855 0.5890
0.9710 0.4549 0.1607
```

=====

Most stable of them? three.

=====

one.
KMg2Ni: relaxed, PBE-GGA.

Structure (POSCAR):
```
KMg2Ni
1.0
-1.5375 2.1311 8.1715
1.5375 -2.1311 8.1715
1.5375 2.1311 -8.1715
K Mg Ni
1 2 1
direct
0.0000 0.0000 0.0000
0.3198 0.8198 0.5000
0.6829 0.6829 0.0000
0.8112 0.3112 0.5000
```

=====

two.
KMg2Ni: relaxed, PBE-GGA.

Structure (POSCAR):
```
KMg2Ni
1.0
-2.5392 2.5392 3.6637
2.5392 -2.5392 3.6637
2.5392 2.5392 -3.6637
K Mg Ni
1 2 1
direct
0.0000 0.0000 0.0000
0.2500 0.7500 0.5000
0.5000 0.5000 0.0000
0.7500 0.2500 0.5000
```

=====

Most stable of them? one.